# 1
VASP calculation (PBE-GGA) on an optimized crystal structure of Mn2AsRu.

The density of states at the Fermi level comes out at 6.89 states/eV per cell. The formation energy comes out at 65 meV/atom.

The space group is Cm (No. 8) and the conventional cell measures 8.320, 2.930 and 4.511 Å, with angles of 90.00, 101.08 and 90.00 degrees. The distinct sites, in fractional coordinates, are Mn at (0.000, 0.000, 0.000), Mn at (0.250, 0.000, 0.749), As at (0.247, 0.500, 0.222) and Ru at (0.003, 0.500, 0.517).

# 2
VASP calculation (PBE-GGA) on an optimized crystal structure of Mn2AsRu.

The density of states at the Fermi level comes out at 2.63 states/eV per cell. The formation energy comes out at 20 meV/atom.

The space group is P4mm (No. 99) and the conventional cell measures 2.985, 2.985 and 5.862 Å, with angles of 90.00, 90.00 and 90.00 degrees. The distinct sites, in fractional coordinates, are Mn at (0.000, 0.000, 0.000), Mn at (0.500, 0.500, 0.241), As at (0.500, 0.500, 0.770) and Ru at (0.000, 0.000, 0.509).

# 3
VASP calculation (PBE-GGA) on an optimized crystal structure of MnAs6Ru.

The density of states at the Fermi level comes out at 8.96 states/eV per cell. The formation energy comes out at -184 meV/atom.

The space group is C2/m (No. 12) and the conventional cell measures 12.154, 8.579 and 8.602 Å, with angles of 90.00, 134.93 and 90.00 degrees. The distinct sites, in fractional coordinates, are Mn at (0.250, 0.250, 0.000), As at (0.002, 0.147, 0.351), As at (0.145, 0.500, 0.792), As at (0.147, 0.349, 0.149), As at (0.159, 0.500, 0.513) and Ru at (0.250, 0.250, 0.500).

# 4
VASP calculation (PBE-GGA) on an optimized crystal structure of MnAsRu2.

The density of states at the Fermi level comes out at 8.08 states/eV per cell. The formation energy comes out at 35 meV/atom.

The space group is Imm2 (No. 44) and the conventional cell measures 2.978, 4.272 and 8.639 Å, with angles of 90.00, 90.00 and 90.00 degrees. The distinct sites, in fractional coordinates, are Mn at (0.000, 0.000, 0.000), As at (0.000, 0.500, 0.273), Ru at (0.000, 0.000, 0.543) and Ru at (0.000, 0.500, 0.765).

# 5
VASP calculation (PBE-GGA) on an optimized crystal structure of Mn2AsRu2.

The calculation puts the energy relative to the lowest polymorph listed for this composition at 23 kJ/mol of formula units. The density of states at the Fermi level comes out at 8.50 states/eV per cell. The formation energy comes out at 288 meV/atom.

The space group is P4/mbm (No. 127) and the conventional cell measures 7.172, 7.172 and 2.721 Å, with angles of 90.00, 90.00 and 90.00 degrees. The distinct sites, in fractional coordinates, are Mn at (0.121, 0.379, 0.000), As at (0.000, 0.000, 0.500) and Ru at (0.168, 0.668, 0.500).

# 6
VASP calculation (PBE-GGA) on an optimized crystal structure of Mn2AsRu.

The density of states at the Fermi level comes out at 21.56 states/eV per cell. The formation energy comes out at 833 meV/atom.

The space group is I-42d (No. 122) and the conventional cell measures 5.330, 5.330 and 10.269 Å, with angles of 90.00, 90.00 and 90.00 degrees. The distinct sites, in fractional coordinates, are Mn at (0.242, 0.250, 0.125), As at (0.000, 0.000, 0.500) and Ru at (0.000, 0.000, 0.000).

# 7
VASP calculation (PBE-GGA) on an optimized crystal structure of MnAsRu2.

The density of states at the Fermi level comes out at 6.13 states/eV per cell. The formation energy comes out at -24 meV/atom.

The space group is Cm (No. 8) and the conventional cell measures 8.943, 2.975 and 4.381 Å, with angles of 90.00, 106.04 and 90.00 degrees. The distinct sites, in fractional coordinates, are Mn at (0.000, 0.000, 0.000), As at (0.248, 0.000, 0.641), Ru at (0.007, 0.500, 0.508) and Ru at (0.240, 0.500, 0.115).

# 8
VASP calculation (PBE-GGA) on an optimized crystal structure of MnAsRu2.

The density of states at the Fermi level comes out at 7.62 states/eV per cell. The formation energy comes out at 399 meV/atom.

The space group is Immm (No. 71) and the conventional cell measures 2.806, 4.004 and 11.257 Å, with angles of 90.00, 90.00 and 90.00 degrees. The distinct sites, in fractional coordinates, are Mn at (0.000, 0.000, 0.000), As at (0.000, 0.000, 0.500) and Ru at (0.000, 0.000, 0.289).

# 9
VASP calculation (PBE-GGA) on an optimized crystal structure of Mn2AsRu.

The density of states at the Fermi level comes out at 10.79 states/eV per cell. The formation energy comes out at -61 meV/atom.

The space group is F-43m (No. 216) and the conventional cell measures 5.898, 5.898 and 5.898 Å, with angles of 90.00, 90.00 and 90.00 degrees. The distinct sites, in fractional coordinates, are Mn at (0.000, 0.000, 0.000), Mn at (0.250, 0.250, 0.250), As at (0.000, 0.000, 0.500) and Ru at (0.250, 0.250, 0.750).

# 10
VASP calculation (PBE-GGA) on an optimized crystal structure of Mn2AsRu.

The density of states at the Fermi level comes out at 6.21 states/eV per cell. The formation energy comes out at 56 meV/atom.

The space group is I4/mmm (No. 139) and the conventional cell measures 3.681, 3.681 and 7.605 Å, with angles of 90.00, 90.00 and 90.00 degrees. The distinct sites, in fractional coordinates, are Mn at (0.000, 0.500, 0.250), As at (0.000, 0.000, 0.000) and Ru at (0.000, 0.000, 0.500).

# 11
VASP calculation (PBE-GGA) on an optimized crystal structure of MnAsRu2.

The density of states at the Fermi level comes out at 7.17 states/eV per cell. The formation energy comes out at 42 meV/atom.

The space group is Amm2 (No. 38) and the conventional cell measures 3.939, 2.812 and 10.193 Å, with angles of 90.00, 90.00 and 90.00 degrees. The distinct sites, in fractional coordinates, are Mn at (0.000, 0.000, 0.000), As at (0.500, 0.000, 0.397), Ru at (0.000, 0.000, 0.254) and Ru at (0.500, 0.000, 0.636).

# 12
VASP calculation (PBE-GGA) on an optimized crystal structure of MnAsRu.

The density of states at the Fermi level comes out at 2.71 states/eV per cell. The formation energy comes out at -211 meV/atom.

The space group is P-62m (No. 189) and the conventional cell measures 6.5421, 6.5421 and 3.6096 Å, with angles of 90.00, 90.00 and 120.00 degrees. The distinct sites, in fractional coordinates, are Mn at (0.0000, 0.5952, 0.0000), As at (0.0000, 0.0000, 0.0000), As at (0.3333, 0.6667, 0.5000) and Ru at (0.0000, 0.2574, 0.5000).

# 13
VASP calculation (PBE-GGA) on an optimized crystal structure of MnAsRu2.

The density of states at the Fermi level comes out at 2.96 states/eV per cell. The formation energy comes out at -34 meV/atom.

The space group is P4/mmm (No. 123) and the conventional cell measures 3.044, 3.044 and 6.065 Å, with angles of 90.00, 90.00 and 90.00 degrees. The distinct sites, in fractional coordinates, are Mn at (0.000, 0.000, 0.000), As at (0.000, 0.000, 0.500) and Ru at (0.500, 0.500, 0.258).

# 14
VASP calculation (PBE-GGA) on an optimized crystal structure of MnAsRu.

The density of states at the Fermi level comes out at 2.77 states/eV per cell. The formation energy comes out at 155 meV/atom.

The space group is P3m1 (No. 156) and the conventional cell measures 2.8626, 2.8626 and 5.9524 Å, with angles of 90.00, 90.00 and 120.00 degrees. The distinct sites, in fractional coordinates, are Mn at (0.0000, 0.0000, 0.0000), As at (0.3333, 0.6667, 0.6728) and Ru at (0.6667, 0.3333, 0.3299).

| no. | DFT total energy (eV per formula unit) |
| --- | --- |
| 1 | -32.0 |
| 2 | -32.2 |
| 3 | -47.8 |
| 4 | -32.2 |
| 5 | -40.1 |
| 6 | -28.9 |
| 7 | -32.5 |
| 8 | -30.8 |
| 9 | -32.5 |
| 10 | -32.0 |
| 11 | -32.2 |
| 12 | -23.7 |
| 13 | -32.5 |
| 14 | -22.6 |